Density functional theory data (GGA-PBE) for PrYPdRh after structural relaxation.

```
PrYPdRh
1.0
0.0000 3.5452 3.5452
3.5452 0.0000 3.5452
3.5452 3.5452 0.0000
Pr Y Pd Rh
1 1 1 1
direct
0.0000 0.0000 0.0000
0.5000 0.5000 0.5000
0.2500 0.2500 0.2500
0.7500 0.7500 0.7500
```

Calculated values
SG   F-43m (216)
Final energy   -6.691 eV per atom
N(E_F)   3.03 states/eV per cell
Energy of formation from the pure elements   -0.74 eV per atom

Density functional theory data (GGA-PBE) for TbDy3Tm2Bi6 after structural relaxation.

```
TbDy3Tm2Bi6
1.0
9.7205 -2.2303 0.0000
9.7205 2.2303 0.0000
-2.0369 0.0000 8.6874
Tb Dy Tm Bi
1 3 2 6
direct
0.0000 0.0000 0.0000
0.0000 0.0000 0.5000
0.3340 0.3340 0.1675
0.6660 0.6660 0.8325
0.3331 0.3331 0.6670
0.6669 0.6669 0.3330
0.1672 0.1672 0.0854
0.1674 0.1674 0.5810
0.4990 0.4990 0.7486
0.5010 0.5010 0.2514
0.8326 0.8326 0.4190
0.8328 0.8328 0.9146
```

Calculated values
SG   C2/m (12)
Final energy   -5.058 eV per atom
N(E_F)   2.00 states/eV per cell
Energy of formation from the pure elements   -0.84 eV per atom

Density functional theory data (GGA-PBE) for NaY2Sc3Te6 after structural relaxation.

```
NaY2Sc3Te6
1.0
9.3546 -2.1250 0.0000
9.3546 2.1250 0.0000
-2.0763 0.0000 8.3788
Na Y Sc Te
1 2 3 6
direct
0.0000 0.0000 0.0000
0.3315 0.3315 0.6615
0.6685 0.6685 0.3385
0.0000 0.0000 0.5000
0.3347 0.3347 0.1779
0.6653 0.6653 0.8221
0.1624 0.1624 0.5894
0.1712 0.1712 0.0737
0.4980 0.4980 0.2599
0.5020 0.5020 0.7401
0.8288 0.8288 0.9263
0.8376 0.8376 0.4106
```

Calculated values
SG   C2/m (12)
Final energy   -5.550 eV per atom
N(E_F)   5.51 states/eV per cell
Formation energy without anion corrections   -1.209 eV per atom

Density functional theory data (GGA-PBE) for Tm2SbO after structural relaxation.

```
Tm2SbO
1.0
1.8191 1.0503 6.9344
-1.8191 1.0503 6.9344
0.0000 -2.1006 6.9344
Tm Sb O
2 1 1
direct
0.2268 0.2268 0.2268
0.7732 0.7732 0.7732
0.0000 0.0000 0.0000
0.5000 0.5000 0.5000
```

Calculated values
SG   R-3m (166)
Final energy   -6.156 eV per atom
N(E_F)   2.63 states/eV per cell
Formation energy without anion corrections   -1.650 eV per atom

Density functional theory data (GGA-PBE) for ZnSbAu2N after structural relaxation.

```
ZnSbAu2N
1.0
4.2312 0.0000 0.0000
0.0000 4.2312 0.0000
0.0000 0.0000 5.3433
Zn Sb Au N
1 1 2 1
direct
0.0000 0.0000 0.0000
0.5000 0.5000 0.0000
0.0000 0.5000 0.5000
0.5000 0.0000 0.5000
0.5000 0.5000 0.5000
```

Calculated values
SG   P4/mmm (123)
Final energy   -3.357 eV per atom
N(E_F)   1.88 states/eV per cell
Formation energy without anion corrections   0.698 eV per atom

Density functional theory data (GGA-PBE) for BeAu2Br after structural relaxation.

```
BeAu2Br
1.0
3.3666 -1.9327 0.0000
3.3666 1.9327 0.0000
-1.9934 0.0000 6.9217
Be Au Br
1 2 1
direct
0.0000 0.0000 0.0000
0.3703 0.3703 0.1266
0.6297 0.6297 0.8734
0.5000 0.5000 0.5000
```

Calculated values
SG   C2/m (12)
Final energy   -2.984 eV per atom
N(E_F)   1.03 states/eV per cell
Formation energy without anion corrections   0.005 eV per atom

Density functional theory data (GGA-PBE) for RbAg3Br6 after structural relaxation.

```
RbAg3Br6
1.0
4.9178 -7.2094 0.0000
4.9178 7.2094 0.0000
0.0000 0.0000 4.5495
Rb Ag Br
1 3 6
direct
0.0000 0.0000 0.0000
0.0000 0.5000 0.5000
0.5000 0.0000 0.5000
0.5000 0.5000 0.0000
0.1802 0.8198 0.5000
0.1854 0.4384 0.0000
0.4384 0.1854 0.0000
0.5616 0.8146 0.0000
0.8146 0.5616 0.0000
0.8198 0.1802 0.5000
```

Calculated values
SG   Cmmm (65)
Final energy   -2.504 eV per atom
N(E_F)   3.00 states/eV per cell
Formation energy without anion corrections   -0.548 eV per atom

Density functional theory data (GGA-PBE) for AsP2Ir after structural relaxation.

```
AsP2Ir
1.0
2.8792 0.0000 0.0000
0.0000 4.5307 0.0000
0.0000 0.0000 4.6312
As P Ir
1 2 1
direct
0.0000 0.0000 0.0000
0.0000 0.5000 0.5000
0.5000 0.5000 0.0000
0.5000 0.0000 0.5000
```

Calculated values
SG   Pmmm (47)
Final energy   -5.576 eV per atom
N(E_F)   1.41 states/eV per cell
Energy of formation from the pure elements   0.51 eV per atom

Density functional theory data (GGA-PBE) for Ge7Rh3 after structural relaxation.

```
Ge7Rh3
1.0
-4.3828 4.3828 4.3828
4.3828 -4.3828 4.3828
4.3828 4.3828 -4.3828
Ge Rh
14 6
direct
0.0000 0.0000 0.3335
0.0000 0.0000 0.6665
0.0000 0.3335 0.0000
0.0000 0.6665 0.0000
0.2500 0.5000 0.7500
0.2500 0.7500 0.5000
0.3335 0.0000 0.0000
0.3335 0.3335 0.3335
0.5000 0.2500 0.7500
0.5000 0.7500 0.2500
0.6665 0.0000 0.0000
0.6665 0.6665 0.6665
0.7500 0.2500 0.5000
0.7500 0.5000 0.2500
0.0000 0.3409 0.3409
0.0000 0.6591 0.6591
0.3409 0.0000 0.3409
0.3409 0.3409 0.0000
0.6591 0.0000 0.6591
0.6591 0.6591 0.0000
```

Calculated values
SG   Im-3m (229)
Final energy   -5.757 eV per atom
N(E_F)   11.34 states/eV per cell
Energy of formation from the pure elements   -0.32 eV per atom

Density functional theory data (GGA-PBE) for Na4CeSm3S8 after structural relaxation.

```
Na4CeSm3S8
1.0
4.0944 2.3639 6.6771
-4.0944 2.3639 6.6771
0.0000 -4.7278 6.6771
Na Ce Sm S
4 1 3 8
direct
0.0000 0.0000 0.0000
0.0000 0.5000 0.5000
0.5000 0.0000 0.5000
0.5000 0.5000 0.0000
0.5000 0.5000 0.5000
0.0000 0.0000 0.5000
0.0000 0.5000 0.0000
0.5000 0.0000 0.0000
0.2417 0.7450 0.7450
0.2437 0.2437 0.2437
0.2550 0.2550 0.7583
0.2550 0.7583 0.2550
0.7450 0.2417 0.7450
0.7450 0.7450 0.2417
0.7563 0.7563 0.7563
0.7583 0.2550 0.2550
```

Calculated values
SG   R-3m (166)
Final energy   -5.443 eV per atom
N(E_F)   5.00 states/eV per cell
Formation energy without anion corrections   -1.793 eV per atom

Density functional theory data (GGA-PBE) for CsSbPb after structural relaxation.

```
CsSbPb
1.0
5.5652 0.0000 0.0000
0.0000 5.5652 0.0000
0.0000 0.0000 8.6371
Cs Sb Pb
2 2 2
direct
0.2500 0.2500 0.1581
0.7500 0.7500 0.8419
0.2500 0.2500 0.6941
0.7500 0.7500 0.3059
0.2500 0.7500 0.5000
0.7500 0.2500 0.5000
```

Calculated values
SG   P4/nmm (129)
Final energy   -3.199 eV per atom
N(E_F)   3.57 states/eV per cell
Formation energy without anion corrections   -0.304 eV per atom

Density functional theory data (GGA-PBE) for PaVZn2 after structural relaxation.

```
PaVZn2
1.0
4.6747 0.0000 0.0000
0.0000 6.4388 0.0000
-1.4607 0.0000 4.6831
Pa V Zn
2 2 4
direct
0.0541 0.2500 0.1416
0.9459 0.7500 0.8584
0.1116 0.7500 0.3779
0.8884 0.2500 0.6221
0.4141 0.0530 0.7291
0.4141 0.4470 0.7291
0.5859 0.5530 0.2709
0.5859 0.9470 0.2709
```

Calculated values
SG   P2_1/m (11)
Final energy   -5.279 eV per atom
N(E_F)   10.28 states/eV per cell
Energy of formation from the pure elements   0.01 eV per atom